DFT (PBE+U) results for a relaxed structure of Li3Mn3O8.

The calculation puts the density of states at the Fermi level at 6.15 states/eV/f.u. The value obtained for the energy above the most stable polymorph in this dataset is 30 meV/atom.

It has space group P6_3mc (No. 186), with a = 5.7979 Å, b = 5.7979 Å, c = 9.9969 Å, α = 90.00°, β = 90.00° and γ = 120.00°. Symmetry generates all atoms from Li at (0.0000, 0.0000, 0.0000), Li at (0.3333, 0.6667, 0.0213), Li at (0.3333, 0.6667, 0.4019), Mn at (0.1673, 0.3347, 0.7171), O at (0.0000, 0.0000, 0.3165), O at (0.0305, 0.5152, 0.8235), O at (0.1549, 0.3097, 0.1149) and O at (0.3333, 0.6667, 0.6131).